1.
The following is a DFT calculation (PBE) of a relaxed AlGaPbO4 crystal.

Cell lengths 5.2454, 5.6016, 6.9442 Å; angles 90.00, 104.13, 90.00 degrees
Element x y z (fractional)
Al 0.2765 0.7500 0.3220
Al 0.7235 0.2500 0.6780
Ga 0.8770 0.7500 0.5189
Ga 0.1230 0.2500 0.4811
Pb 0.7314 0.7500 0.9863
Pb 0.2686 0.2500 0.0137
O 0.9879 0.4691 0.6814
O 0.0121 0.9691 0.3186
O 0.0121 0.5309 0.3186
O 0.9879 0.0309 0.6814
O 0.3605 0.7500 0.0926
O 0.6395 0.2500 0.9074
O 0.5331 0.7500 0.5349
O 0.4669 0.2500 0.4651

Output
For the uncorrected formation energy, the calculation gives -1.88 eV per atom. The symmetry is P2_1/m, No. 11. For the total DFT energy (no corrections), the calculation gives -6.206 eV/atom.



2.
The following is a DFT calculation (PBE) of a relaxed Al2GaPbO6 crystal.

Cell lengths 6.0703, 6.9423, 6.9423 Å; angles 100.18, 73.88, 73.88 degrees
Element x y z (fractional)
Al 0.3287 0.7016 0.5562
Al 0.1713 0.4438 0.2984
Al 0.6713 0.2984 0.4438
Al 0.8287 0.5562 0.7016
Ga 0.2500 0.1992 0.8008
Ga 0.7500 0.8008 0.1992
Pb 0.2500 0.8897 0.1103
Pb 0.7500 0.1103 0.8897
O 0.1833 0.9432 0.7894
O 0.3167 0.2106 0.0568
O 0.8167 0.0568 0.2106
O 0.6833 0.7894 0.9432
O 0.4393 0.8384 0.3692
O 0.0607 0.6308 0.1616
O 0.5607 0.1616 0.6308
O 0.9393 0.3692 0.8384
O 0.0413 0.6655 0.5675
O 0.4587 0.4325 0.3345
O 0.9587 0.3345 0.4325
O 0.5413 0.5675 0.6655

Output
For the uncorrected formation energy, the calculation gives -2.12 eV per atom. The symmetry is C2/c, No. 15. For the total DFT energy (no corrections), the calculation gives -6.518 eV/atom.



3.
The following is a DFT calculation (PBE) of a relaxed PmAlGa2O6 crystal.

Cell lengths 6.2707, 7.0365, 7.0365 Å; angles 78.04, 68.90, 68.90 degrees
Element x y z (fractional)
Pm 0.2500 0.8167 0.1833
Pm 0.7500 0.1833 0.8167
Al 0.2500 0.1858 0.8142
Al 0.7500 0.8142 0.1858
Ga 0.3210 0.7567 0.6442
Ga 0.1790 0.3558 0.2433
Ga 0.6790 0.2433 0.3558
Ga 0.8210 0.6442 0.7567
O 0.1729 0.9644 0.8212
O 0.3271 0.1788 0.0356
O 0.8271 0.0356 0.1788
O 0.6729 0.8212 0.9644
O 0.4790 0.8245 0.3759
O 0.0210 0.6241 0.1755
O 0.5210 0.1755 0.6241
O 0.9790 0.3759 0.8245
O 0.0581 0.7513 0.5714
O 0.4419 0.4286 0.2487
O 0.9419 0.2487 0.4286
O 0.5581 0.5714 0.7513

Output
For the uncorrected formation energy, the calculation gives -2.51 eV per atom. The symmetry is C2/c, No. 15. For the total DFT energy (no corrections), the calculation gives -6.936 eV/atom.



4.
The following is a DFT calculation (PBE) of a relaxed Pr2AlGaO6 crystal.

Cell lengths 5.4701, 5.4616, 7.7288 Å; angles 90.00, 89.89, 90.00 degrees
Element x y z (fractional)
Pr 0.0077 0.9718 0.2502
Pr 0.5077 0.5282 0.7502
Pr 0.9923 0.0282 0.7498
Pr 0.4923 0.4718 0.2498
Al 0.5000 0.0000 0.0000
Al 0.0000 0.5000 0.5000
Ga 0.5000 0.0000 0.5000
Ga 0.0000 0.5000 0.0000
O 0.2805 0.7285 0.0388
O 0.7805 0.7715 0.5388
O 0.7195 0.2715 0.9612
O 0.2195 0.2285 0.4612
O 0.2696 0.7194 0.4617
O 0.7696 0.7806 0.9617
O 0.7304 0.2806 0.5383
O 0.2304 0.2194 0.0383
O 0.9289 0.5111 0.2553
O 0.4289 0.9889 0.7553
O 0.0711 0.4889 0.7447
O 0.5711 0.0111 0.2447

Output
For the uncorrected formation energy, the calculation gives -2.92 eV per atom. The symmetry is P2_1/c, No. 14. For the total DFT energy (no corrections), the calculation gives -7.530 eV/atom.



5.
The following is a DFT calculation (PBE) of a relaxed Pr3AlGa2O9 crystal.

Cell lengths 5.4569, 5.4569, 6.6848 Å; angles 90.00, 90.00, 120.00 degrees
Element x y z (fractional)
Pr 0.3333 0.6667 0.6680
Pr 0.0000 0.0000 0.0000
Pr 0.6667 0.3333 0.3320
Al 0.0000 0.0000 0.5000
Ga 0.3333 0.6667 0.1718
Ga 0.6667 0.3333 0.8282
O 0.8368 0.1632 0.6624
O 0.8368 0.6735 0.6624
O 0.3265 0.1632 0.6624
O 0.6735 0.8368 0.3376
O 0.1632 0.3265 0.3376
O 0.1632 0.8368 0.3376
O 0.5000 0.0000 0.0000
O 0.0000 0.5000 0.0000
O 0.5000 0.5000 0.0000

Output
For the uncorrected formation energy, the calculation gives -2.76 eV per atom. The symmetry is P-3m1, No. 164. For the total DFT energy (no corrections), the calculation gives -7.342 eV/atom.



6.
The following is a DFT calculation (PBE) of a relaxed PuAlGaO6 crystal.

Cell lengths 5.1206, 5.1206, 8.7623 Å; angles 90.00, 90.00, 120.00 degrees
Element x y z (fractional)
Pu 0.3333 0.6667 0.2500
Pu 0.6667 0.3333 0.7500
Al 0.6667 0.3333 0.2500
Al 0.3333 0.6667 0.7500
Ga 0.0000 0.0000 0.0000
Ga 0.0000 0.0000 0.5000
O 0.6759 0.6546 0.1296
O 0.9787 0.3241 0.1296
O 0.3241 0.9787 0.6296
O 0.0213 0.6759 0.8704
O 0.3454 0.3241 0.3704
O 0.9787 0.6546 0.3704
O 0.6546 0.9787 0.8704
O 0.6759 0.0213 0.3704
O 0.0213 0.3454 0.6296
O 0.3454 0.0213 0.1296
O 0.6546 0.6759 0.6296
O 0.3241 0.3454 0.8704

Output
For the uncorrected formation energy, the calculation gives -2.27 eV per atom. The symmetry is P-31c, No. 163. For the total DFT energy (no corrections), the calculation gives -7.917 eV/atom.



> Which of these has the highest total DFT energy (no corrections)?

AlGaPbO4



> What is the total DFT energy (no corrections) in the first record?

-6.206 eV/atom